# 1
! HgOs GGA-PBE relaxed; values from VASP
! Calculated volume = 151.6 Å³ per cell
! Relative energy among the computed polymorphs = 929 meV/atom
! Symmetry = P6_3/mmc
! Density = 17.1 g/cm³
&SYSTEM
  ibrav = 0, nat = 8, ntyp = 2
/
ATOMIC_SPECIES
Hg 200.59 Hg.upf
Os 190.23 Os.upf
CELL_PARAMETERS angstrom
4.7152 0.0000 0.0000
-2.3576 4.0835 0.0000
0.0000 0.0000 7.8746
ATOMIC_POSITIONS angstrom
Hg 0.0000 0.0000 1.9686
Hg 0.0000 0.0000 5.9059
Hg 0.0000 2.7223 1.9686
Hg 2.3576 1.3612 5.9059
Os 0.0000 2.7223 4.6713
Os 0.0000 2.7223 7.1405
Os 2.3576 1.3612 0.7340
Os 2.3576 1.3612 3.2032

# 2
! Hg2Os GGA-PBE relaxed; values from VASP
! Calculated volume = 261.8 Å³ per cell
! Total energy = -2.556 eV/atom
! Symmetry = P6_3/mmc
! Density = 15.0 g/cm³
&SYSTEM
  ibrav = 0, nat = 12, ntyp = 2
/
ATOMIC_SPECIES
Hg 200.59 Hg.upf
Os 190.23 Os.upf
CELL_PARAMETERS angstrom
5.2535 0.0000 0.0000
-2.6268 4.5497 0.0000
0.0000 0.0000 10.9528
ATOMIC_POSITIONS angstrom
Hg 0.0000 0.0000 0.0000
Hg 0.0000 0.0000 5.4764
Hg 0.0000 1.5191 2.7382
Hg -1.3112 3.7902 2.7382
Hg 1.3156 0.7595 8.2146
Hg 1.3112 3.7902 2.7382
Hg 3.9380 0.7595 8.2146
Hg 2.6268 3.0306 8.2146
Os 0.0000 3.0331 0.0922
Os 0.0000 3.0331 5.3842
Os 2.6268 1.5166 5.5686
Os 2.6268 1.5166 10.8606